## LiNpCoO6 (PBE+U)

Data for a relaxed LiNpCoO6 crystal.

**DFT total energy**: -7.28 eV per atom

The structure in POSCAR format:
```
LiNpCoO6
1.0
4.680 0.000 0.000
0.000 4.680 0.000
0.000 0.000 9.108
Li Np Co O
2 2 2 12
direct
0.000 0.000 0.000
0.500 0.500 0.500
0.000 0.000 0.336
0.500 0.500 0.836
0.000 0.000 0.672
0.500 0.500 0.172
0.183 0.183 0.513
0.193 0.193 0.823
0.209 0.209 0.176
0.291 0.709 0.676
0.307 0.693 0.323
0.317 0.683 0.013
0.683 0.317 0.013
0.693 0.307 0.323
0.709 0.291 0.676
0.791 0.791 0.176
0.807 0.807 0.823
0.817 0.817 0.513
```